Version 1
A crystal of Ta5Mo3 relaxed with PBEsol, computed with SCAN.

Summary:
Crystal system: trigonal

Cell: 7.793 7.793 7.793 Å, 34.15 34.15 34.15°
Positions (direct):
Ta  0.000  0.000  0.000
Ta  0.247  0.247  0.247
Ta  0.376  0.376  0.376
Ta  0.624  0.624  0.624
Ta  0.753  0.753  0.753
Mo  0.126  0.126  0.126
Mo  0.500  0.500  0.500
Mo  0.874  0.874  0.874

Version 2
A crystal of Ta5Mo3 relaxed with PBEsol, computed with SCAN.

Summary:
Crystal system: orthorhombic

Cell: 9.546 9.546 9.546 Å, 160.66 152.49 33.85°
Positions (direct):
Ta  0.000  0.000  0.000
Ta  0.247  0.247  0.000
Ta  0.619  0.119  0.500
Ta  0.746  0.746  0.000
Ta  0.872  0.372  0.500
Mo  0.122  0.622  0.500
Mo  0.375  0.875  0.500
Mo  0.494  0.494  0.000

What are the relative energies? In meV per atom: version 1 50; version 2 0.

Version 1
A crystal of TaIn2Mo relaxed with PBEsol, computed with SCAN.

Summary:
Crystal system: cubic

Cell: 4.695 4.695 4.695 Å, 60.00 60.00 60.00°
Positions (direct):
Ta  0.000  0.000  0.000
In  0.250  0.250  0.250
In  0.500  0.500  0.500
Mo  0.750  0.750  0.750

Version 2
A crystal of TaIn2Mo relaxed with PBEsol, computed with SCAN.

Summary:
Crystal system: monoclinic

Cell: 5.179 5.179 5.171 Å, 95.86 95.86 32.27°
Positions (direct):
Ta  0.000  0.000  0.000
In  0.251  0.251  0.745
In  0.495  0.495  0.488
Mo  0.751  0.751  0.236

What are the relative energies? In meV per atom: version 1 105; version 2 0.